{"formula": "MnMoAs2", "functional": "PBE-GGA", "state": "optimized geometry", "lattice": [[-1.042, -2.276, 1.956], [2.712, 0.177, 1.649], [0.200, 4.474, 5.310]], "species": ["As", "As", "Mn", "Mo"], "frac_coords": [[0.000, 0.011, 0.990], [0.000, 0.489, 0.510], [0.500, 0.250, 0.250], [0.500, 0.750, 0.750]], "total_magnetization_mub_per_fu": 3.7, "total_energy_ev_per_atom": -7.3284, "polymorph_energy_mev_per_atom": 255, "space_group": "P4/mmm (123)"}